Below is an optimized crystal structure of Mg3WS, with properties calculated at the PBE level.

Lattice parameters (Å, degrees): 4.7692 4.7692 4.7692 90.00 90.00 90.00
Sites, in units of the cell vectors:
Mg  0.0000  0.0000  0.5000
Mg  0.0000  0.5000  0.0000
Mg  0.5000  0.0000  0.0000
W  0.5000  0.5000  0.5000
S  0.0000  0.0000  0.0000

Values from the calculation:
Space-group type: Pm-3m, No. 221
Raw formation energy: 0.66 eV/atom
Offset from the most stable computed form: 0.000 eV per atom

=====

Below is an optimized crystal structure of Ac3Pr3Pd4, with properties calculated at the PBE level.

Lattice parameters (Å, degrees): 4.1462 8.3367 8.3367 91.14 90.00 90.00
Sites, in units of the cell vectors:
Ac  0.0000  0.0000  0.0000
Ac  0.5000  0.1646  0.6532
Ac  0.5000  0.6532  0.1646
Pr  0.0000  0.3273  0.3273
Pr  0.0000  0.5011  0.8208
Pr  0.0000  0.8208  0.5011
Pd  0.5000  0.0366  0.2915
Pd  0.5000  0.2915  0.0366
Pd  0.5000  0.5358  0.5358
Pd  0.5000  0.7850  0.7850

Values from the calculation:
Energy of formation: -0.590 eV/atom
Space-group type: Amm2, No. 38

=====

Below is an optimized crystal structure of Cu2MoAu, with properties calculated at the PBE level.

Lattice parameters (Å, degrees): 8.8848 8.8848 8.8848 18.11 18.11 18.11
Sites, in units of the cell vectors:
Cu  0.0000  0.0000  0.0000
Cu  0.2587  0.2587  0.2587
Mo  0.7493  0.7493  0.7493
Au  0.5075  0.5075  0.5075

Values from the calculation:
Energy of formation: 0.259 eV/atom
Space-group type: R3m, No. 160
Offset from the most stable computed form: 0.122 eV per atom